Entry from Alexandria via LeMat-Bulk: crystalline U2PaCr2C4 at its relaxed geometry (GGA-PBE).

Values from the calculation:
- magnetic moment (μB per formula unit) = 0.88
- density of states at the Fermi level (states/eV/cell) = 8.7
- ΔE_f (eV per atom) = -0.063

Cell lengths 3.0992, 7.0365, 5.7449 Å; angles 108.38, 90.00, 102.72 degrees
Closest atoms and distances in Å follow each position.
Fractional positions:
U: 0.8711 0.7421 0.4798  5 C 2.44-2.54
U: 0.1289 0.2579 0.5202  5 C 2.44-2.54
Pa: 0.0000 0.0000 0.0000  4 C 2.44
Cr: 0.3165 0.6330 0.9859  4 C 2.01-2.09
Cr: 0.6835 0.3670 0.0141  4 C 2.01-2.09
C: 0.7604 0.5208 0.7592  3 Cr 2.01-2.06
C: 0.2396 0.4792 0.2408  3 Cr 2.01-2.06
C: 0.4551 0.9102 0.2784  1 Cr 2.09
C: 0.5449 0.0898 0.7216  1 Cr 2.09

Entry from Alexandria via LeMat-Bulk: crystalline Li2AlPCO7 at its relaxed geometry (GGA-PBE).

Values from the calculation:
- uncorrected formation energy (eV per formula unit) = -27.0
- magnetic moment (μB per formula unit) = 0.00
- density of states at the Fermi level (states/eV/cell) = 0.0

Cell lengths 6.2103, 5.0295, 8.4589 Å; angles 85.36, 90.00, 90.00 degrees
Closest atoms and distances in Å follow each position.
Fractional positions:
Li: 0.9843 0.7812 0.7935  4 O 1.99-2.22
Li: 0.5157 0.7812 0.7935  4 O 1.99-2.22
Li: 0.4843 0.2188 0.2065  4 O 1.99-2.22
Li: 0.0157 0.2188 0.2065  4 O 1.99-2.22
Al: 0.7500 0.2118 0.6535  6 O 1.84-2.02
Al: 0.2500 0.7882 0.3465  6 O 1.84-2.02
P: 0.2500 0.2680 0.5729  4 O 1.54-1.55
P: 0.7500 0.7320 0.4271  4 O 1.54-1.55
C: 0.7500 0.2669 0.9342  3 O 1.26-1.33
C: 0.2500 0.7331 0.0658  3 O 1.26-1.33
O: 0.2500 0.6969 0.9201  1 C 1.26
O: 0.7500 0.0319 0.8764  1 C 1.32
O: 0.7500 0.4647 0.8199  1 C 1.33
O: 0.0512 0.1807 0.6721  1 P 1.54
O: 0.4488 0.1807 0.6721  1 P 1.54
O: 0.7500 0.8649 0.5868  1 P 1.55
O: 0.2500 0.5750 0.5333  1 P 1.55
O: 0.7500 0.4250 0.4667  1 P 1.55
O: 0.2500 0.1351 0.4132  1 P 1.55
O: 0.5512 0.8193 0.3279  1 P 1.54
O: 0.9488 0.8193 0.3279  1 P 1.54
O: 0.2500 0.5353 0.1801  1 C 1.33
O: 0.2500 0.9681 0.1236  1 C 1.32
O: 0.7500 0.3031 0.0799  1 C 1.26

Entry from Alexandria via LeMat-Bulk: crystalline ZrAlCu2 at its relaxed geometry (GGA-PBE).

Values from the calculation:
- magnetic moment (μB per formula unit) = 0.00
- density of states at the Fermi level (states/eV/cell) = 8.7
- ΔE_f (eV per atom) = -0.251

Cell lengths 5.2443, 6.3784, 7.5342 Å; angles 90.00, 90.00, 90.00 degrees
Closest atoms and distances in Å follow each position.
Fractional positions:
Cu: 0.1079 0.0494 0.1844  3 Al 2.42-2.50, 1 Cu 2.56
Cu: 0.6079 0.9506 0.3156  3 Al 2.42-2.50, 1 Cu 2.56
Cu: 0.8921 0.5494 0.8156  3 Al 2.42-2.50, 1 Cu 2.56
Cu: 0.3921 0.4506 0.6844  3 Al 2.42-2.50, 1 Cu 2.56
Cu: 0.8921 0.9506 0.8156  3 Al 2.42-2.50, 1 Cu 2.56
Cu: 0.3921 0.0494 0.6844  3 Al 2.42-2.50, 1 Cu 2.56
Cu: 0.1079 0.4506 0.1844  3 Al 2.42-2.50, 1 Cu 2.56
Cu: 0.6079 0.5494 0.3156  3 Al 2.42-2.50, 1 Cu 2.56
Zr: 0.1472 0.7500 0.4519  6 Cu 2.78-2.92, 3 Al 2.82-3.09
Zr: 0.6472 0.2500 0.0481  6 Cu 2.78-2.92, 3 Al 2.82-3.09
Zr: 0.8528 0.2500 0.5481  6 Cu 2.78-2.92, 3 Al 2.82-3.09
Zr: 0.3528 0.7500 0.9519  6 Cu 2.78-2.92, 3 Al 2.82-3.09
Al: 0.8467 0.7500 0.0986  6 Cu 2.42-2.50
Al: 0.3467 0.2500 0.4014  6 Cu 2.42-2.50
Al: 0.1533 0.2500 0.9014  6 Cu 2.42-2.50
Al: 0.6533 0.7500 0.5986  6 Cu 2.42-2.50

Entry from Alexandria via LeMat-Bulk: crystalline HfGa2Ir3 at its relaxed geometry (GGA-PBE).

Values from the calculation:
- magnetic moment (μB per formula unit) = 0.00
- density of states at the Fermi level (states/eV/cell) = 1.9
- ΔE_f (eV per atom) = -0.620

Cell lengths 3.0096, 3.0096, 10.1521 Å; angles 90.00, 90.00, 90.00 degrees
Closest atoms and distances in Å follow each position.
Fractional positions:
Hf: 0.5000 0.5000 0.5000  8 Ir 2.85, 4 Hf 3.01
Ga: 0.5000 0.5000 0.8427  8 Ir 2.65-2.66
Ga: 0.5000 0.5000 0.1573  8 Ir 2.65-2.66
Ir: 0.0000 0.0000 0.0000  8 Ga 2.66
Ir: 0.0000 0.0000 0.6871  4 Ga 2.65, 4 Hf 2.85
Ir: 0.0000 0.0000 0.3129  4 Ga 2.65, 4 Hf 2.85

Entry from Alexandria via LeMat-Bulk: crystalline Mn2BePt at its relaxed geometry (GGA-PBE).

Values from the calculation:
- magnetic moment (μB per formula unit) = 6.90
- density of states at the Fermi level (states/eV/cell) = 2.7
- ΔE_f (eV per atom) = -0.112

Cell lengths 2.7803, 2.7803, 6.5804 Å; angles 90.00, 90.00, 90.01 degrees
Closest atoms and distances in Å follow each position.
Fractional positions:
Be: 0.5000 0.5000 0.7500  8 Mn 2.43
Mn: 0.0000 0.0000 0.9680  4 Be 2.43, 4 Pt 2.70
Mn: 0.0000 0.0000 0.5320  4 Be 2.43, 4 Pt 2.70
Pt: 0.5000 0.5000 0.2500  8 Mn 2.70, 4 Pt 2.78

Entry from Alexandria via LeMat-Bulk: crystalline BeHgMoIr2 at its relaxed geometry (GGA-PBE).

Values from the calculation:
- magnetic moment (μB per formula unit) = 2.32
- density of states at the Fermi level (states/eV/cell) = 5.3
- ΔE_f (eV per atom) = 0.698

Cell lengths 4.2179, 4.4018, 4.2179 Å; angles 90.00, 90.00, 90.00 degrees
Closest atoms and distances in Å follow each position.
Fractional positions:
Be: 0.0000 0.0000 0.0000  4 Ir 2.11, 2 Hg 2.20
Mo: 0.5000 0.5000 0.5000  4 Hg 2.98, 8 Ir 3.05
Ir: 0.0000 0.0000 0.5000  2 Be 2.11
Ir: 0.5000 0.0000 0.0000  2 Be 2.11
Hg: 0.0000 0.5000 0.0000  2 Be 2.20

Question: Which value of magnetic moment does entry 3 give?
Answer: 0.00 μB per formula unit